DFT (PBE) results for LaPrSi3 after structural relaxation.

Calculated values
formation energy from raw total energies: -3.56 eV per formula unit

Cell: 4.490 25.117 4.031 Å, 90.00 90.00 90.00°
Space group Cmcm (No. 63)
Asymmetric unit:
La 0.000 0.069 0.250 x4
Pr 0.000 0.201 0.750 x4
Si 0.000 0.325 0.750 x4
Si 0.000 0.381 0.250 x4
Si 0.000 0.476 0.250 x4

DFT (PBE) results for TiPbS2 after structural relaxation.

Calculated values
formation energy from raw total energies: -2.73 eV per formula unit

Cell: 3.7136 3.7136 25.5374 Å, 90.00 90.00 120.00°
Space group R3m (No. 160, hexagonal axes)
Asymmetric unit:
Ti 0.0000 0.0000 0.0000 x3
Pb 0.0000 0.0000 0.4976 x3
S 0.0000 0.0000 0.0875 x3
S 0.0000 0.0000 0.6261 x3